Record 1
Material: ZrCd2In
Method: DFT, PBE-GGA
State: relaxed

a = 3.2180 Å, b = 4.5206 Å, c = 6.2455 Å
α = 90.00°, β = 90.00°, γ = 90.00°
With the nearest neighbours (Å) after each atom.
Fractional coordinates of all 4 atoms:
Cd 0.0000 0.0000 0.9892  4 Cd 2.99-3.26, 4 Zr 3.15, 4 In 3.22
Cd 0.0000 0.0000 0.5108  4 Cd 2.99-3.26, 4 Zr 3.15, 4 In 3.22
In 0.5000 0.5000 0.2500  2 Zr 3.12, 8 Cd 3.22, 2 In 3.22
Zr 0.5000 0.5000 0.7500  2 In 3.12, 8 Cd 3.15, 2 Zr 3.22

Computed properties:
Calculated formation energy ... -0.103 eV/f.u.
Calculated volume ... 22.71 Å³ per atom
Space-group type ... No. 47



Record 2
Material: Zr3Cd2In
Method: DFT, PBE-GGA
State: relaxed

a = 3.1654 Å, b = 3.1654 Å, c = 13.0739 Å
α = 90.00°, β = 90.00°, γ = 90.00°
With the nearest neighbours (Å) after each atom.
Fractional coordinates of all 6 atoms:
Zr 0.0000 0.0000 0.0000  8 Cd 3.12, 4 Zr 3.17
Zr 0.0000 0.0000 0.6665  4 In 3.12, 4 Cd 3.13, 4 Zr 3.17
Zr 0.0000 0.0000 0.3335  4 In 3.12, 4 Cd 3.13, 4 Zr 3.17
Cd 0.5000 0.5000 0.8340  8 Zr 3.12-3.13, 4 Cd 3.17
Cd 0.5000 0.5000 0.1660  8 Zr 3.12-3.13, 4 Cd 3.17
In 0.5000 0.5000 0.5000  8 Zr 3.12, 4 In 3.17

Computed properties:
Calculated formation energy ... -1.089 eV/f.u.
Calculated volume ... 21.83 Å³ per atom
Distance to the lowest polymorph of the same formula ... 0.0 meV per atom
Space-group type ... No. 123



Record 3
Material: Zr2Cd5In
Method: DFT, PBE-GGA
State: relaxed

a = 4.3706 Å, b = 6.2952 Å, c = 12.5850 Å
α = 90.00°, β = 90.00°, γ = 90.00°
With the nearest neighbours (Å) after each atom.
Fractional coordinates of all 16 atoms:
Zr 0.5000 0.2343 0.6206  2 In 3.04, 10 Cd 3.13-3.16
Zr 0.5000 0.7657 0.3794  2 In 3.04, 10 Cd 3.13-3.16
Zr 0.5000 0.2657 0.1206  2 In 3.04, 10 Cd 3.13-3.16
Zr 0.5000 0.7343 0.8794  2 In 3.04, 10 Cd 3.13-3.16
Cd 0.0000 0.0000 0.0000  6 Cd 3.10-3.11, 4 Zr 3.14, 2 In 3.15
Cd 0.0000 0.5000 0.5000  6 Cd 3.10-3.11, 4 Zr 3.14, 2 In 3.15
Cd 0.0000 0.4861 0.7471  7 Cd 3.07-3.15, 4 Zr 3.13-3.16, 1 In 3.18
Cd 0.0000 0.5139 0.2529  7 Cd 3.07-3.15, 4 Zr 3.13-3.16, 1 In 3.18
Cd 0.0000 0.0139 0.2471  7 Cd 3.07-3.15, 4 Zr 3.13-3.16, 1 In 3.18
Cd 0.0000 0.9861 0.7529  7 Cd 3.07-3.15, 4 Zr 3.13-3.16, 1 In 3.18
Cd 0.5000 0.2352 0.8707  6 Cd 3.07-3.11, 4 Zr 3.14-3.15, 2 In 3.19
Cd 0.5000 0.7648 0.1293  6 Cd 3.07-3.11, 4 Zr 3.14-3.15, 2 In 3.19
Cd 0.5000 0.2648 0.3707  6 Cd 3.07-3.11, 4 Zr 3.14-3.15, 2 In 3.19
Cd 0.5000 0.7352 0.6293  6 Cd 3.07-3.11, 4 Zr 3.14-3.15, 2 In 3.19
In 0.0000 0.0000 0.5000  4 Zr 3.04, 8 Cd 3.15-3.19
In 0.0000 0.5000 0.0000  4 Zr 3.04, 8 Cd 3.15-3.19

Computed properties:
Calculated formation energy ... -1.354 eV/f.u.
Calculated volume ... 21.64 Å³ per atom
Space-group type ... No. 55



Record 4
Material: Cd3Ir
Method: DFT, PBE-GGA
State: relaxed

a = 4.9937 Å, b = 3.1536 Å, c = 5.6444 Å
α = 73.78°, β = 63.75°, γ = 90.00°
With the nearest neighbours (Å) after each atom.
Fractional coordinates of all 4 atoms:
Ir 0.5852 0.2500 0.5000  10 Cd 2.84-3.10, 2 Ir 3.15
Cd 0.9688 0.9837 0.0327  3 Ir 2.85-3.10, 9 Cd 2.93-3.15
Cd 0.1111 0.7500 0.5000  4 Ir 2.84-3.06, 8 Cd 2.93-3.15
Cd 0.5015 0.5163 0.9673  3 Ir 2.85-3.10, 9 Cd 2.93-3.15

Computed properties:
Calculated formation energy ... 0.434 eV/f.u.
Calculated volume ... 18.94 Å³ per atom
Space-group type ... No. 44



Question: Which of these has the lowest calculated volume?
Answer: Cd3Ir